Here is a relaxed structure of AgGe2Cl4 from Alexandria via LeMat-Bulk. Energies are from PBE.

Geometry as POSCAR:
```
AgGe2Cl4
1.0
-3.632 3.632 3.949
3.632 -3.632 3.949
3.632 3.632 -3.949
Ag Ge Cl
1 2 4
Cartesian
0.000 0.000 0.000 Ag
3.632 0.000 1.975 Ge
0.000 3.632 1.975 Ge
2.334 1.275 0.000 Cl
2.358 -1.299 3.949 Cl
1.275 4.931 0.000 Cl
1.299 2.358 3.949 Cl
```

Computed properties:
- total energy (eV per atom) = -3.06
- space group = I4/m (87)
- total magnetization (μB/atom) = 0.149

=====

Here is a relaxed structure of AgGe2Cl6 from Alexandria via LeMat-Bulk. Energies are from PBE.

Geometry as POSCAR:
```
AgGe2Cl6
1.0
6.223 -5.489 0.000
6.223 5.489 0.000
-3.953 0.000 8.669
Ag Ge Cl
2 4 12
Cartesian
3.258 4.581 6.502 Ag
5.234 -4.581 2.167 Ag
0.832 0.654 6.738 Ge
2.808 -0.654 2.403 Ge
5.684 0.654 6.266 Ge
7.660 -0.654 1.931 Ge
-1.238 0.988 5.782 Cl
1.297 2.887 7.066 Cl
0.738 -0.988 1.447 Cl
2.171 0.062 4.728 Cl
4.147 -0.062 0.393 Cl
5.219 2.887 5.938 Cl
3.273 -2.887 2.731 Cl
4.345 0.062 8.276 Cl
6.322 -0.062 3.941 Cl
7.754 0.988 7.222 Cl
7.195 -2.887 1.603 Cl
9.731 -0.988 2.887 Cl
```

Computed properties:
- offset from the most stable computed form (meV per atom) = 0
- space group = C2/c (15)
- total magnetization (μB/atom) = 0.000

=====

Here is a relaxed structure of Ag3GeCl6 from Alexandria via LeMat-Bulk. Energies are from PBE.

Geometry as POSCAR:
```
Ag3GeCl6
1.0
6.810 0.000 0.000
0.000 6.750 0.000
-6.621 0.000 10.245
Ag Ge Cl
6 2 12
Cartesian
0.000 0.000 0.000 Ag
-3.310 3.375 5.123 Ag
-3.319 0.231 7.617 Ag
-0.009 3.144 2.495 Ag
0.198 3.606 7.751 Ag
3.508 6.520 2.628 Ag
0.094 0.000 5.123 Ge
3.405 3.375 0.000 Ge
-0.728 0.588 2.754 Cl
-4.038 2.788 7.877 Cl
1.245 4.551 0.582 Cl
-2.065 5.575 5.705 Cl
2.315 1.246 0.794 Cl
-0.996 2.130 5.917 Cl
1.185 4.621 4.328 Cl
-2.126 5.505 9.451 Cl
2.254 1.176 4.540 Cl
-1.056 2.199 9.663 Cl
4.227 3.963 2.368 Cl
0.917 6.163 7.491 Cl
```

Computed properties:
- total energy (eV per atom) = -2.94
- space group = P2_1/c (14)
- total magnetization (μB/atom) = 0.000

=====

Here is a relaxed structure of AgGe2Cl6 from Alexandria via LeMat-Bulk. Energies are from PBE.

Geometry as POSCAR:
```
AgGe2Cl6
1.0
4.055 2.341 7.432
-4.055 2.341 7.432
0.000 -4.683 7.432
Ag Ge Cl
1 2 6
Cartesian
0.000 0.000 0.000 Ag
0.000 0.000 11.865 Ge
0.000 0.000 14.485 Ge
0.000 -2.038 11.090 Cl
-1.765 1.019 11.090 Cl
-1.907 -1.101 15.259 Cl
1.765 1.019 11.090 Cl
1.907 -1.101 15.259 Cl
0.000 2.202 15.259 Cl
```

Computed properties:
- offset from the most stable computed form (meV per atom) = 29
- space group = R3m (160)
- total magnetization (μB/atom) = 0.000

=====

- Which formula does entry 3 have?
  Ag3GeCl6

=====

- What is the total magnetization in the first record?
  0.149 μB/atom

=====

- Which value of total magnetization does entry 1 give?
  0.149 μB/atom